1.
A plane-wave DFT calculation with PBE-GGA was carried out for a geometry-optimized Pa2InSb4 structure.

## Properties
D(E_F) in states/eV/f.u.: 10.06
SG: P-4m2 (115)
Calculated volume in A^3/atom: 29.3
ΔE_f (raw) in kcal/mol of atoms: -6.6
Magnetic moment in μB/f.u.: 1.3

Geometry as POSCAR:
```
Pa2InSb4
1.0
4.3044 0.0000 0.0000
0.0000 4.3044 0.0000
0.0000 0.0000 11.0722
Pa In Sb
2 1 4
direct
0.0000 0.5000 0.2160 Pa
0.5000 0.0000 0.7840 Pa
0.0000 0.0000 0.5000 In
0.0000 0.0000 0.0000 Sb
0.0000 0.5000 0.7106 Sb
0.5000 0.0000 0.2894 Sb
0.5000 0.5000 0.0000 Sb
```



2.
A plane-wave DFT calculation with PBE-GGA was carried out for a geometry-optimized CaZnGe2Pb structure.

## Properties
ΔE_f in eV/atom: 0.776
D(E_F) in states/eV/f.u.: 4.67
SG: P4/mmm (123)
Calculated volume in A^3/atom: 41.8
Magnetic moment in μB/f.u.: 0.0

Geometry as POSCAR:
```
CaZnGe2Pb
1.0
5.9090 0.0000 0.0000
0.0000 5.9090 0.0000
0.0000 0.0000 5.9900
Ca Zn Ge Pb
1 1 2 1
direct
0.0000 0.0000 0.0000 Ca
0.5000 0.5000 0.0000 Zn
0.0000 0.5000 0.5000 Ge
0.5000 0.0000 0.5000 Ge
0.0000 0.0000 0.5000 Pb
```



3.
A plane-wave DFT calculation with PBE-GGA was carried out for a geometry-optimized Ti2MnP structure.

## Properties
ΔE_f in eV/atom: -0.124
D(E_F) in states/eV/f.u.: 4.32
SG: I-42d (122)
Calculated volume in A^3/atom: 15.4
Magnetic moment in μB/f.u.: 2.5

Geometry as POSCAR:
```
Ti2MnP
1.0
-3.4715 3.4715 2.5561
3.4715 -3.4715 2.5561
3.4715 3.4715 -2.5561
Ti Mn P
4 2 2
direct
0.1023 0.1250 0.4773 Ti
0.3750 0.8977 0.0227 Ti
0.6477 0.6250 0.5227 Ti
0.8750 0.3523 0.9773 Ti
0.2500 0.7500 0.5000 Mn
0.5000 0.5000 0.0000 Mn
0.0000 0.0000 0.0000 P
0.7500 0.2500 0.5000 P
```



4.
A plane-wave DFT calculation with PBE-GGA was carried out for a geometry-optimized ZnRhSI2 structure.

## Properties
D(E_F) in states/eV/f.u.: 5.00
SG: P4/mmm (123)
Calculated volume in A^3/atom: 29.3
ΔE_f (raw) in kcal/mol of atoms: 22.8
Magnetic moment in μB/f.u.: 3.2

Geometry as POSCAR:
```
ZnRhSI2
1.0
5.4680 0.0000 0.0000
0.0000 5.4680 0.0000
0.0000 0.0000 4.8918
Zn Rh S I
1 1 1 2
direct
0.0000 0.0000 0.0000 Zn
0.0000 0.0000 0.5000 Rh
0.5000 0.5000 0.5000 S
0.0000 0.5000 0.0000 I
0.5000 0.0000 0.0000 I
```



5.
A plane-wave DFT calculation with PBE-GGA was carried out for a geometry-optimized HfNbCoTc structure.

## Properties
ΔE_f in eV/atom: -0.321
D(E_F) in states/eV/f.u.: 1.87
SG: F-43m (216)
Calculated volume in A^3/atom: 16.0
Magnetic moment in μB/f.u.: 0.9

Geometry as POSCAR:
```
HfNbCoTc
1.0
0.0000 3.1775 3.1775
3.1775 0.0000 3.1775
3.1775 3.1775 0.0000
Hf Nb Co Tc
1 1 1 1
direct
0.0000 0.0000 0.0000 Hf
0.5000 0.5000 0.5000 Nb
0.7500 0.7500 0.7500 Co
0.2500 0.2500 0.2500 Tc
```



6.
A plane-wave DFT calculation with PBE-GGA was carried out for a geometry-optimized Pr2GaAs structure.

## Properties
ΔE_f in eV/atom: -1.028
D(E_F) in states/eV/f.u.: 3.12
SG: Cmcm (63)
Calculated volume in A^3/atom: 28.3
Magnetic moment in μB/f.u.: 0.0

Geometry as POSCAR:
```
Pr2GaAs
1.0
2.1882 -12.1653 0.0000
2.1882 12.1653 0.0000
0.0000 0.0000 4.2551
Pr Ga As
4 2 2
direct
0.0669 0.9331 0.7500 Pr
0.3117 0.6883 0.7500 Pr
0.6883 0.3117 0.2500 Pr
0.9331 0.0669 0.2500 Pr
0.4661 0.5339 0.7500 Ga
0.5339 0.4661 0.2500 Ga
0.1885 0.8115 0.7500 As
0.8115 0.1885 0.2500 As
```



7.
A plane-wave DFT calculation with PBE-GGA was carried out for a geometry-optimized CoNi structure.

## Properties
ΔE_f in eV/atom: 1.313
D(E_F) in states/eV/f.u.: 2.03
SG: I-43m (217)
Calculated volume in A^3/atom: 20.8
Magnetic moment in μB/f.u.: 2.6

Geometry as POSCAR:
```
CoNi
1.0
-3.4670 3.4670 3.4670
3.4670 -3.4670 3.4670
3.4670 3.4670 -3.4670
Co Ni
4 4
direct
0.0000 0.0000 0.7464 Co
0.0000 0.7464 0.0000 Co
0.2536 0.2536 0.2536 Co
0.7464 0.0000 0.0000 Co
0.0000 0.0000 0.3814 Ni
0.0000 0.3814 0.0000 Ni
0.3814 0.0000 0.0000 Ni
0.6186 0.6186 0.6186 Ni
```



8.
A plane-wave DFT calculation with PBE-GGA was carried out for a geometry-optimized Ca2TcH8 structure.

## Properties
D(E_F) in states/eV/f.u.: 1.58
SG: C2/m (12)
Calculated volume in A^3/atom: 8.3
Magnetic moment in μB/f.u.: 0.0
Raw total energy in eV per atom: -3.987

Geometry as POSCAR:
```
Ca2TcH8
1.0
7.6271 -1.7090 0.0000
7.6271 1.7090 0.0000
-0.8196 0.0000 3.4941
Ca Tc H
2 1 8
direct
0.1587 0.1587 0.1626 Ca
0.8413 0.8413 0.8374 Ca
0.5000 0.5000 0.5000 Tc
0.0200 0.0200 0.7275 H
0.2475 0.2475 0.7483 H
0.3796 0.3796 0.3936 H
0.4531 0.4531 0.9560 H
0.5469 0.5469 0.0440 H
0.6204 0.6204 0.6064 H
0.7525 0.7525 0.2517 H
0.9800 0.9800 0.2725 H
```



9.
A plane-wave DFT calculation with PBE-GGA was carried out for a geometry-optimized ScAuSe2 structure.

## Properties
D(E_F) in states/eV/f.u.: 1.62
SG: Cmcm (63)
Calculated volume in A^3/atom: 24.7
ΔE_f (raw) in kcal/mol of atoms: -16.1
Magnetic moment in μB/f.u.: 0.0

Geometry as POSCAR:
```
ScAuSe2
1.0
1.7637 -13.7849 0.0000
1.7637 13.7849 0.0000
0.0000 0.0000 4.0618
Sc Au Se
2 2 4
direct
0.1544 0.8456 0.7500 Sc
0.8456 0.1544 0.2500 Sc
0.3935 0.6065 0.7500 Au
0.6065 0.3935 0.2500 Au
0.3013 0.6987 0.7500 Se
0.4436 0.5564 0.2500 Se
0.5564 0.4436 0.7500 Se
0.6987 0.3013 0.2500 Se
```



10.
A plane-wave DFT calculation with PBE-GGA was carried out for a geometry-optimized NaTcF2 structure.

## Properties
D(E_F) in states/eV/f.u.: 2.34
SG: R-3m (166)
Calculated volume in A^3/atom: 13.1
ΔE_f (raw) in kcal/mol of atoms: -19.1
Magnetic moment in μB/f.u.: 0.0

Geometry as POSCAR:
```
NaTcF2
1.0
1.3814 0.7976 7.9257
-1.3814 0.7976 7.9257
0.0000 -1.5951 7.9257
Na Tc F
1 1 2
direct
0.0000 0.0000 0.0000 Na
0.5000 0.5000 0.5000 Tc
0.0870 0.0870 0.0870 F
0.9130 0.9130 0.9130 F
```



11.
A plane-wave DFT calculation with PBE-GGA was carried out for a geometry-optimized NpPd2Pt structure.

## Properties
ΔE_f in eV/atom: -0.438
D(E_F) in states/eV/f.u.: 11.34
SG: I-4m2 (119)
Calculated volume in A^3/atom: 17.9
Magnetic moment in μB/f.u.: 3.2

Geometry as POSCAR:
```
NpPd2Pt
1.0
-2.0860 2.0860 4.1179
2.0860 -2.0860 4.1179
2.0860 2.0860 -4.1179
Np Pd Pt
1 2 1
direct
0.0000 0.0000 0.0000 Np
0.5000 0.5000 0.0000 Pd
0.7500 0.2500 0.5000 Pd
0.2500 0.7500 0.5000 Pt
```



12.
A plane-wave DFT calculation with PBE-GGA was carried out for a geometry-optimized Ac3Al2Zn2Pd4 structure.

## Properties
ΔE_f in eV/atom: -0.649
D(E_F) in states/eV/f.u.: 7.64
SG: P-3m1 (164)
Calculated volume in A^3/atom: 24.0
Magnetic moment in μB/f.u.: 0.0

Geometry as POSCAR:
```
Ac3Al2Zn2Pd4
1.0
4.4980 0.0000 0.0000
-2.2490 3.8954 0.0000
0.0000 0.0000 15.0715
Ac Al Zn Pd
3 2 2 4
direct
0.0000 0.0000 0.0000 Ac
0.0000 0.0000 0.2780 Ac
0.0000 0.0000 0.7220 Ac
0.3333 0.6667 0.5610 Al
0.6667 0.3333 0.4390 Al
0.3333 0.6667 0.1402 Zn
0.6667 0.3333 0.8598 Zn
0.3333 0.6667 0.3978 Pd
0.3333 0.6667 0.8655 Pd
0.6667 0.3333 0.1345 Pd
0.6667 0.3333 0.6022 Pd
```



13.
A plane-wave DFT calculation with PBE-GGA was carried out for a geometry-optimized YCuSn2Pt4 structure.

## Properties
ΔE_f in eV/atom: -0.613
D(E_F) in states/eV/f.u.: 3.80
SG: R-3m (166)
Calculated volume in A^3/atom: 18.7
Magnetic moment in μB/f.u.: 0.0

Geometry as POSCAR:
```
YCuSn2Pt4
1.0
2.2342 1.2899 8.6738
-2.2342 1.2899 8.6738
0.0000 -2.5798 8.6738
Y Cu Sn Pt
1 1 2 4
direct
0.0000 0.0000 0.0000 Y
0.5000 0.5000 0.5000 Cu
0.2427 0.2427 0.2427 Sn
0.7573 0.7573 0.7573 Sn
0.1352 0.1352 0.1352 Pt
0.3987 0.3987 0.3987 Pt
0.6013 0.6013 0.6013 Pt
0.8648 0.8648 0.8648 Pt
```



14.
A plane-wave DFT calculation with PBE-GGA was carried out for a geometry-optimized Cs2GaHg2Sb2 structure.

## Properties
D(E_F) in states/eV/f.u.: 2.92
SG: C2/m (12)
Calculated volume in A^3/atom: 37.9
ΔE_f (raw) in kcal/mol of atoms: -4.1
Magnetic moment in μB/f.u.: 0.0

Geometry as POSCAR:
```
Cs2GaHg2Sb2
1.0
6.7545 -2.8666 0.0000
6.7545 2.8666 0.0000
-4.5826 0.0000 6.8527
Cs Ga Hg Sb
2 1 2 2
direct
0.1700 0.1700 0.0750 Cs
0.8300 0.8300 0.9250 Cs
0.0000 0.0000 0.5000 Ga
0.2319 0.2319 0.5950 Hg
0.7681 0.7681 0.4050 Hg
0.4788 0.4788 0.6518 Sb
0.5212 0.5212 0.3482 Sb
```



15.
A plane-wave DFT calculation with PBE-GGA was carried out for a geometry-optimized YInSe3 structure.

## Properties
SG: P2_1/c (14)
Calculated volume in A^3/atom: 28.3
ΔE_f (raw) in kcal/mol of atoms: -26.0
Magnetic moment in μB/f.u.: 0.0

Geometry as POSCAR:
```
YInSe3
1.0
7.3627 0.0000 0.0000
0.0000 7.3138 0.0000
-4.5056 0.0000 10.5136
Y In Se
4 4 12
direct
0.0070 0.1118 0.1848 Y
0.0070 0.3882 0.6848 Y
0.9930 0.6118 0.3152 Y
0.9930 0.8882 0.8152 Y
0.3759 0.6030 0.1229 In
0.3759 0.8970 0.6229 In
0.6241 0.1030 0.3771 In
0.6241 0.3970 0.8771 In
0.0231 0.7304 0.5697 Se
0.0231 0.7696 0.0697 Se
0.2932 0.6174 0.8779 Se
0.2932 0.8826 0.3779 Se
0.3338 0.1279 0.7886 Se
0.3338 0.3721 0.2886 Se
0.6662 0.6279 0.7114 Se
0.6662 0.8721 0.2114 Se
0.7068 0.1174 0.6221 Se
0.7068 0.3826 0.1221 Se
0.9769 0.2304 0.9303 Se
0.9769 0.2696 0.4303 Se
```



16.
A plane-wave DFT calculation with PBE-GGA was carried out for a geometry-optimized Nd2HoCo structure.

## Properties
ΔE_f in eV/atom: -0.091
D(E_F) in states/eV/f.u.: 4.94
SG: Pnma (62)
Calculated volume in A^3/atom: 27.3
Magnetic moment in μB/f.u.: 0.0

Geometry as POSCAR:
```
Nd2HoCo
1.0
7.0642 0.0000 0.0000
0.0000 9.8807 0.0000
0.0000 0.0000 6.2657
Nd Ho Co
8 4 4
direct
0.1758 0.0702 0.1757 Nd
0.1758 0.4298 0.1757 Nd
0.3242 0.5702 0.6757 Nd
0.3242 0.9298 0.6757 Nd
0.6758 0.0702 0.3243 Nd
0.6758 0.4298 0.3243 Nd
0.8242 0.5702 0.8243 Nd
0.8242 0.9298 0.8243 Nd
0.0439 0.2500 0.6558 Ho
0.4561 0.7500 0.1558 Ho
0.5439 0.2500 0.8442 Ho
0.9561 0.7500 0.3442 Ho
0.1172 0.7500 0.9516 Co
0.3828 0.2500 0.4516 Co
0.6172 0.7500 0.5484 Co
0.8828 0.2500 0.0484 Co
```



17.
A plane-wave DFT calculation with PBE-GGA was carried out for a geometry-optimized SrZr3Mo structure.

## Properties
ΔE_f in eV/atom: 0.532
D(E_F) in states/eV/f.u.: 11.55
SG: Pm-3m (221)
Calculated volume in A^3/atom: 28.5
Magnetic moment in μB/f.u.: 0.0

Geometry as POSCAR:
```
SrZr3Mo
1.0
5.2232 0.0000 0.0000
0.0000 5.2232 0.0000
0.0000 0.0000 5.2232
Sr Zr Mo
1 3 1
direct
0.0000 0.0000 0.0000 Sr
0.0000 0.5000 0.5000 Zr
0.5000 0.0000 0.5000 Zr
0.5000 0.5000 0.0000 Zr
0.5000 0.5000 0.5000 Mo
```



18.
A plane-wave DFT calculation with PBE-GGA was carried out for a geometry-optimized CsCuO2 structure.

## Properties
D(E_F) in states/eV/f.u.: 0.27
SG: R-3m (166)
Calculated volume in A^3/atom: 16.3
ΔE_f (raw) in kcal/mol of atoms: -5.2
Magnetic moment in μB/f.u.: 2.0

Geometry as POSCAR:
```
CsCuO2
1.0
1.6461 0.9504 6.9567
-1.6461 0.9504 6.9567
0.0000 -1.9008 6.9567
Cs Cu O
1 1 2
direct
0.0000 0.0000 0.0000 Cs
0.5000 0.5000 0.5000 Cu
0.1226 0.1226 0.1226 O
0.8774 0.8774 0.8774 O
```



19.
A plane-wave DFT calculation with PBE-GGA was carried out for a geometry-optimized NaCa2USe4 structure.

## Properties
D(E_F) in states/eV/f.u.: 5.87
SG: P2/m (10)
Calculated volume in A^3/atom: 26.2
ΔE_f (raw) in kcal/mol of atoms: -35.9
Magnetic moment in μB/f.u.: 3.0

Geometry as POSCAR:
```
NaCa2USe4
1.0
7.2587 0.0000 0.0000
0.0000 4.1772 0.0000
-2.3396 0.0000 6.9086
Na Ca U Se
1 2 1 4
direct
0.0000 0.0000 0.0000 Na
0.5000 0.0000 0.5000 Ca
0.5000 0.5000 0.0000 Ca
0.0000 0.5000 0.5000 U
0.2466 0.0000 0.7449 Se
0.2508 0.5000 0.2599 Se
0.7492 0.5000 0.7401 Se
0.7534 0.0000 0.2551 Se
```



20.
A plane-wave DFT calculation with PBE-GGA was carried out for a geometry-optimized TaTlTe3Pd structure.

## Properties
D(E_F) in states/eV/f.u.: 1.02
SG: P2_1/m (11)
Calculated volume in A^3/atom: 28.0
ΔE_f (raw) in kcal/mol of atoms: -8.5
Magnetic moment in μB/f.u.: 0.0

Geometry as POSCAR:
```
TaTlTe3Pd
1.0
8.7587 0.0000 0.0000
0.0000 3.9222 0.0000
-4.2998 0.0000 9.7976
Ta Tl Te Pd
2 2 6 2
direct
0.0352 0.2500 0.3161 Ta
0.9648 0.7500 0.6839 Ta
0.4970 0.7500 0.7915 Tl
0.5030 0.2500 0.2085 Tl
0.1626 0.2500 0.6151 Te
0.2047 0.7500 0.9439 Te
0.2820 0.7500 0.3610 Te
0.7180 0.2500 0.6390 Te
0.7953 0.2500 0.0561 Te
0.8374 0.7500 0.3849 Te
0.0318 0.7500 0.1139 Pd
0.9682 0.2500 0.8861 Pd
```